[1]
SrTb2Al3Si2Pd after structural relaxation, computed with PBE-GGA.

**Crystal system**: orthorhombic
**Calculated density**: 5.819 g/cm³
**Energy**: -4.91 eV per atom

Cell lengths 4.331, 7.040, 7.040 Å; angles 120.36, 90.00, 90.00 degrees
Sites, in units of the cell vectors:
1 Sr 0.000 0.000 0.000
2 Tb 0.000 0.419 0.837
3 Tb 0.000 0.837 0.419
4 Al 0.500 0.187 0.431
5 Al 0.500 0.431 0.187
6 Al 0.500 0.651 0.651
7 Si 0.500 0.093 0.744
8 Si 0.500 0.744 0.093
9 Pd 0.000 0.431 0.431

***

[2]
Tb3Al3SiPd2 after structural relaxation, computed with PBE-GGA.

**Crystal system**: hexagonal
**Calculated density**: 7.318 g/cm³
**Energy**: -5.28 eV per atom

Cell lengths 7.405, 7.405, 3.817 Å; angles 90.00, 90.00, 120.00 degrees
Sites, in units of the cell vectors:
1 Tb 0.000 0.599 0.000
2 Tb 0.401 0.401 0.000
3 Tb 0.599 0.000 0.000
4 Al 0.000 0.252 0.500
5 Al 0.252 0.000 0.500
6 Al 0.748 0.748 0.500
7 Si 0.000 0.000 0.000
8 Pd 0.333 0.667 0.500
9 Pd 0.667 0.333 0.500

***

[3]
Tb3Al3SiPd2 after structural relaxation, computed with PBE-GGA.

**Crystal system**: hexagonal
**Calculated density**: 6.856 g/cm³
**Energy**: -4.92 eV per atom

Cell lengths 7.571, 7.571, 3.897 Å; angles 90.00, 90.00, 120.00 degrees
Sites, in units of the cell vectors:
1 Tb 0.000 0.274 0.000
2 Tb 0.274 0.000 0.000
3 Tb 0.726 0.726 0.000
4 Al 0.000 0.601 0.500
5 Al 0.399 0.399 0.500
6 Al 0.601 0.000 0.500
7 Si 0.000 0.000 0.500
8 Pd 0.333 0.667 0.000
9 Pd 0.667 0.333 0.000

***

[4]
TbY2Al3Si2Pd after structural relaxation, computed with PBE-GGA.

**Crystal system**: orthorhombic
**Calculated density**: 5.487 g/cm³
**Energy**: -5.78 eV per atom

Cell lengths 4.254, 6.905, 6.905 Å; angles 120.01, 90.00, 90.00 degrees
Sites, in units of the cell vectors:
1 Tb 0.000 0.000 0.000
2 Y 0.000 0.164 0.582
3 Y 0.000 0.582 0.164
4 Al 0.500 0.344 0.344
5 Al 0.500 0.582 0.821
6 Al 0.500 0.821 0.582
7 Si 0.500 0.249 0.916
8 Si 0.500 0.916 0.249
9 Pd 0.000 0.582 0.582

***

[5]
Tb2YAl3Si2Pd after structural relaxation, computed with PBE-GGA.

**Crystal system**: orthorhombic
**Calculated density**: 6.129 g/cm³
**Energy**: -5.57 eV per atom

Cell lengths 4.262, 6.909, 6.909 Å; angles 120.00, 90.00, 90.00 degrees
Sites, in units of the cell vectors:
1 Tb 0.000 0.209 0.791
2 Tb 0.000 0.791 0.209
3 Y 0.000 0.373 0.373
4 Al 0.500 0.030 0.030
5 Al 0.500 0.552 0.791
6 Al 0.500 0.791 0.552
7 Si 0.500 0.125 0.458
8 Si 0.500 0.458 0.125
9 Pd 0.000 0.791 0.791

***

[6]
Tm3Al3SiPd2 after structural relaxation, computed with PBE-GGA.

**Crystal system**: hexagonal
**Calculated density**: 7.430 g/cm³
**Energy**: -4.91 eV per atom

Cell lengths 7.467, 7.467, 3.835 Å; angles 90.00, 90.00, 120.00 degrees
Sites, in units of the cell vectors:
1 Tm 0.000 0.273 0.000
2 Tm 0.273 0.000 0.000
3 Tm 0.727 0.727 0.000
4 Al 0.000 0.600 0.500
5 Al 0.400 0.400 0.500
6 Al 0.600 0.000 0.500
7 Si 0.000 0.000 0.500
8 Pd 0.333 0.667 0.000
9 Pd 0.667 0.333 0.000